Entry 1:
The following is a DFT calculation (PBE) of a relaxed structure of PrGa3CoRh.

Cell: 7.4865 10.7333 5.8738 Å, 90.00 90.00 90.00°
Space group Cmcm (No. 63)
Asymmetric unit:
1 Pr 0.0000 0.2347 0.2500 x4
2 Ga 0.0000 0.2834 0.7500 x4
3 Ga 0.2469 0.5000 0.0000 x8
4 Co 0.0000 0.4890 0.7500 x4
5 Rh 0.0000 0.0639 0.7500 x4

calculated volume: 472 Å³/cell
electronic total energy: -5.12 eV per atom
energy relative to the elements: -0.40 eV/atom

***

Entry 2:
The following is a DFT calculation (PBE) of a relaxed structure of ScAl2OsPt.

Cell: 4.5789 4.5789 4.9558 Å, 90.00 90.00 90.00°
Space group P4/mmm (No. 123)
Asymmetric unit:
1 Sc 0.0000 0.0000 0.0000 x1
2 Al 0.0000 0.5000 0.5000 x2
3 Os 0.5000 0.5000 0.0000 x1
4 Pt 0.0000 0.0000 0.5000 x1

calculated volume: 104 Å³/cell
electronic total energy: -5.83 eV per atom
offset from the most stable computed form: 0.00 kJ/mol of atoms
energy relative to the elements: 0.38 eV/atom

***

Entry 3:
The following is a DFT calculation (PBE) of a relaxed structure of NbCl2O.

Cell: 9.3539 9.3539 3.8990 Å, 90.00 90.00 90.00°
Space group I-42d (No. 122)
Asymmetric unit:
1 Nb 0.0000 0.0000 0.0000 x4
2 Cl 0.0929 0.2500 0.1250 x8
3 O 0.0000 0.0000 0.5000 x4

ΔE_f (raw): -1492.1 meV per atom
calculated volume: 341 Å³/cell
electronic total energy: -6.17 eV per atom